No. 1
Crystalline Al2GaRh2 at its relaxed geometry. Source: Alexandria via LeMat-Bulk, functional GGA-PBE.

Its total moment is 0.00 μB/cell. The calculation puts the formation energy at -0.63 eV per atom. For the relative energy among the computed polymorphs, the calculation gives 118.2 meV per atom. As for the uncorrected energy: -5.67 eV per atom.

It has space group P4/mbm (No. 127), with a = 7.203 Å, b = 7.203 Å, c = 2.862 Å, α = 90.00°, β = 90.00° and γ = 90.00°. The inequivalent atoms are Al at (0.137, 0.363, 0.000), Ga at (0.000, 0.000, 0.000) and Rh at (0.158, 0.658, 0.500).

No. 2
Crystalline Al2GaRh at its relaxed geometry. Source: Alexandria via LeMat-Bulk, functional GGA-PBE.

Its total moment is 0.00 μB/cell. The calculation puts the formation energy at -0.57 eV per atom. As for the uncorrected energy: -5.04 eV per atom.

It has space group P2_1/m (No. 11), with a = 3.191 Å, b = 8.309 Å, c = 4.969 Å, α = 90.00°, β = 108.54° and γ = 90.00°. The inequivalent atoms are Al at (0.137, 0.038, 0.273), Ga at (0.459, 0.250, 0.920) and Rh at (0.261, 0.750, 0.522).

No. 3
Crystalline AlGa8Rh2 at its relaxed geometry. Source: Alexandria via LeMat-Bulk, functional GGA-PBE.

Its total moment is 0.00 μB/cell. The calculation puts the formation energy at -0.25 eV per atom. As for the uncorrected energy: -4.13 eV per atom.

It has space group C2/m (No. 12), with a = 11.048 Å, b = 7.355 Å, c = 5.019 Å, α = 90.00°, β = 103.02° and γ = 90.00°. The inequivalent atoms are Al at (0.000, 0.000, 0.000), Ga at (0.083, 0.500, 0.852), Ga at (0.107, 0.290, 0.395), Ga at (0.201, 0.000, 0.794) and Rh at (0.211, 0.000, 0.304).

Please write out number 3 again, unchanged.
Crystalline AlGa8Rh2 at its relaxed geometry. Source: Alexandria via LeMat-Bulk, functional GGA-PBE.

Its total moment is 0.00 μB/cell. The calculation puts the formation energy at -0.25 eV per atom. As for the uncorrected energy: -4.13 eV per atom.

It has space group C2/m (No. 12), with a = 11.048 Å, b = 7.355 Å, c = 5.019 Å, α = 90.00°, β = 103.02° and γ = 90.00°. The inequivalent atoms are Al at (0.000, 0.000, 0.000), Ga at (0.083, 0.500, 0.852), Ga at (0.107, 0.290, 0.395), Ga at (0.201, 0.000, 0.794) and Rh at (0.211, 0.000, 0.304).

Which of these has the highest uncorrected energy? AlGa8Rh2